[1]
# CrP2, relaxed, DFT PBE
data_CrP2
_chemical_formula_sum 'Cr2 P4'
_space_group_name_H-M_alt 'P 63/m m c'
_space_group_IT_number 194
_space_group_name_Hall '-P 6c 2c'
_cell_length_a 4.4173
_cell_length_b 4.4173
_cell_length_c 4.8109
_cell_angle_alpha 90.00
_cell_angle_beta 90.00
_cell_angle_gamma 120.00
loop_
_atom_site_label
_atom_site_fract_x
_atom_site_fract_y
_atom_site_fract_z
_atom_site_occupancy
Cr1 0.3333 0.6667 0.2500 1
P1 0.0000 0.0000 0.0000 1
P2 0.3333 0.6667 0.7500 1
# Crystal system: hexagonal
# Density (g cm⁻³): 4.655
# DFT total energy (eV per atom): -6.564
# Energy relative to the elements (kJ per mole of atoms): 24

***

[2]
# MnCdRu2, relaxed, DFT PBE
data_MnCdRu2
_chemical_formula_sum 'Mn2 Cd2 Ru4'
_space_group_name_H-M_alt 'C m m m'
_space_group_IT_number 65
_space_group_name_Hall '-C 2 2'
_cell_length_a 2.981
_cell_length_b 4.602
_cell_length_c 8.911
_cell_angle_alpha 90.00
_cell_angle_beta 90.00
_cell_angle_gamma 90.00
loop_
_atom_site_label
_atom_site_fract_x
_atom_site_fract_y
_atom_site_fract_z
_atom_site_occupancy
Mn1 0.000 0.000 0.000 1
Cd1 0.000 0.000 0.500 1
Ru1 0.000 0.500 0.224 1
# Crystal system: orthorhombic
# Density (g cm⁻³): 10.038
# DFT total energy (eV per atom): -6.820
# Energy relative to the elements (kJ per mole of atoms): 33

***

[3]
# ZrPb2Au, relaxed, DFT PBE
data_ZrPb2Au
_chemical_formula_sum 'Zr2 Pb4 Au2'
_space_group_name_H-M_alt 'I m m 2'
_space_group_IT_number 44
_cell_length_a 3.377
_cell_length_b 5.263
_cell_length_c 10.985
_cell_angle_alpha 90.00
_cell_angle_beta 90.00
_cell_angle_gamma 90.00
loop_
_space_group_symop_operation_xyz
'x,y,z'
'-x,-y,z'
'-x,y,z'
'x,-y,z'
'x+1/2,y+1/2,z+1/2'
'-x+1/2,-y+1/2,z+1/2'
'-x+1/2,y+1/2,z+1/2'
'x+1/2,-y+1/2,z+1/2'
loop_
_atom_site_label
_atom_site_fract_x
_atom_site_fract_y
_atom_site_fract_z
_atom_site_occupancy
Zr1 0.000 0.000 0.000 1
Pb1 0.000 0.000 0.461 1
Pb2 0.000 0.500 0.240 1
Au1 0.000 0.500 0.715 1
# Crystal system: orthorhombic
# Offset from the most stable computed form (meV per atom): 69
# Density (g cm⁻³): 11.951
# DFT total energy (eV per atom): -4.918
# Energy relative to the elements (kJ per mole of atoms): -10

***

[4]
# Sr3InIr, relaxed, DFT PBE
data_Sr3InIr
_chemical_formula_sum 'Sr6 In2 Ir2'
_space_group_name_H-M_alt 'P m m n'
_space_group_IT_number 59
_cell_length_a 4.142
_cell_length_b 11.114
_cell_length_c 7.845
_cell_angle_alpha 90.00
_cell_angle_beta 90.00
_cell_angle_gamma 90.00
loop_
_space_group_symop_operation_xyz
'x,y,z'
'-x,-y,-z'
'-x+1/2,-y+1/2,z'
'x+1/2,y+1/2,-z'
'x+1/2,-y,-z'
'-x+1/2,y,z'
'-x,y+1/2,-z'
'x,-y+1/2,z'
loop_
_atom_site_label
_atom_site_fract_x
_atom_site_fract_y
_atom_site_fract_z
_atom_site_occupancy
Sr1 0.250 0.064 0.225 1
Sr2 0.250 0.250 0.619 1
In1 0.250 0.750 0.021 1
Ir1 0.250 0.750 0.677 1
# Crystal system: orthorhombic
# Offset from the most stable computed form (meV per atom): 0
# Density (g cm⁻³): 5.241
# DFT total energy (eV per atom): -3.564
# Energy relative to the elements (kJ per mole of atoms): -23

***

[5]
# TlSeF6, relaxed, DFT PBE
data_TlSeF6
_chemical_formula_sum 'Tl2 Se2 F12'
_space_group_name_H-M_alt 'C 1 2/m 1'
_space_group_IT_number 12
_cell_length_a 6.896
_cell_length_b 7.859
_cell_length_c 5.212
_cell_angle_alpha 90.00
_cell_angle_beta 101.23
_cell_angle_gamma 90.00
loop_
_space_group_symop_operation_xyz
'x,y,z'
'-x,-y,-z'
'-x,y,-z'
'x,-y,z'
'x+1/2,y+1/2,z'
'-x+1/2,-y+1/2,-z'
'-x+1/2,y+1/2,-z'
'x+1/2,-y+1/2,z'
loop_
_atom_site_label
_atom_site_fract_x
_atom_site_fract_y
_atom_site_fract_z
_atom_site_occupancy
Tl1 0.000 0.000 0.000 1
Se1 0.000 0.500 0.500 1
F1 0.085 0.334 0.751 1
F2 0.250 0.000 0.583 1
# Crystal system: monoclinic
# Offset from the most stable computed form (meV per atom): 0
# Density (g cm⁻³): 4.763
# DFT total energy (eV per atom): -3.830
# Formation energy (no corrections) (eV per atom): -1.695

***

[6]
# La8TeAu3I4, relaxed, DFT PBE
data_La8TeAu3I4
_chemical_formula_sum 'La24 Te3 Au9 I12'
_space_group_name_H-M_alt 'R -3 m'
_space_group_IT_number 166
_space_group_name_Hall '-R 3 2"'
_cell_length_a 9.0180
_cell_length_b 9.0180
_cell_length_c 23.0285
_cell_angle_alpha 90.00
_cell_angle_beta 90.00
_cell_angle_gamma 120.00
loop_
_atom_site_label
_atom_site_fract_x
_atom_site_fract_y
_atom_site_fract_z
_atom_site_occupancy
La1 0.0000 0.0000 0.2331 1
La2 0.0107 0.5053 0.7590 1
Te1 0.0000 0.0000 0.5000 1
Au1 0.0000 0.5000 0.5000 1
I1 0.0000 0.0000 0.0000 1
I2 0.0000 0.5000 0.0000 1
# Crystal system: trigonal
# Density (g cm⁻³): 7.179
# DFT total energy (eV per atom): -4.675
# Formation energy (no corrections) (eV per atom): -1.013

***

[7]
# Ba2CaTa, relaxed, DFT PBE
data_Ba2CaTa
_chemical_formula_sum 'Ba4 Ca2 Ta2'
_space_group_name_H-M_alt 'C 1 2/m 1'
_space_group_IT_number 12
_cell_length_a 11.965
_cell_length_b 3.550
_cell_length_c 6.799
_cell_angle_alpha 90.00
_cell_angle_beta 98.57
_cell_angle_gamma 90.00
loop_
_space_group_symop_operation_xyz
'x,y,z'
'-x,-y,-z'
'-x,y,-z'
'x,-y,z'
'x+1/2,y+1/2,z'
'-x+1/2,-y+1/2,-z'
'-x+1/2,y+1/2,-z'
'x+1/2,-y+1/2,z'
loop_
_atom_site_label
_atom_site_fract_x
_atom_site_fract_y
_atom_site_fract_z
_atom_site_occupancy
Ba1 0.234 0.000 0.225 1
Ca1 0.000 0.000 0.500 1
Ta1 0.000 0.500 0.000 1
# Crystal system: monoclinic
# Offset from the most stable computed form (meV per atom): 126
# Density (g cm⁻³): 5.765
# DFT total energy (eV per atom): -3.495
# Energy relative to the elements (kJ per mole of atoms): 90

***

[8]
# BaCdBiH2, relaxed, DFT PBE
data_BaCdBiH2
_chemical_formula_sum 'Ba4 Cd4 Bi4 H8'
_space_group_name_H-M_alt 'C m c m'
_space_group_IT_number 63
_space_group_name_Hall '-C 2c 2'
_cell_length_a 4.947
_cell_length_b 12.327
_cell_length_c 7.131
_cell_angle_alpha 90.00
_cell_angle_beta 90.00
_cell_angle_gamma 90.00
loop_
_atom_site_label
_atom_site_fract_x
_atom_site_fract_y
_atom_site_fract_z
_atom_site_occupancy
Ba1 0.000 0.219 0.250 1
Cd1 0.000 0.500 0.000 1
Bi1 0.000 0.062 0.750 1
H1 0.000 0.345 0.560 1
# Crystal system: orthorhombic
# Density (g cm⁻³): 7.037
# DFT total energy (eV per atom): -2.956

***

[9]
# HfPa2Sn, relaxed, DFT PBE
data_HfPa2Sn
_chemical_formula_sum 'Hf1 Pa2 Sn1'
_space_group_name_H-M_alt 'P 4/m m m'
_space_group_IT_number 123
_space_group_name_Hall '-P 4 2'
_cell_length_a 4.041
_cell_length_b 4.041
_cell_length_c 6.293
_cell_angle_alpha 90.00
_cell_angle_beta 90.00
_cell_angle_gamma 90.00
loop_
_atom_site_label
_atom_site_fract_x
_atom_site_fract_y
_atom_site_fract_z
_atom_site_occupancy
Hf1 0.000 0.000 0.000 1
Pa1 0.500 0.500 0.280 1
Sn1 0.000 0.000 0.500 1
# Crystal system: tetragonal
# Offset from the most stable computed form (meV per atom): 229
# Density (g cm⁻³): 12.271
# DFT total energy (eV per atom): -8.203
# Energy relative to the elements (kJ per mole of atoms): 3

***

[10]
# Zn3CdHg3, relaxed, DFT PBE
data_Zn3CdHg3
_chemical_formula_sum 'Zn6 Cd2 Hg6'
_space_group_name_H-M_alt 'P m -3 n'
_space_group_IT_number 223
_space_group_name_Hall '-P 4n 2 3'
_cell_length_a 7.568
_cell_length_b 7.568
_cell_length_c 7.568
_cell_angle_alpha 90.00
_cell_angle_beta 90.00
_cell_angle_gamma 90.00
loop_
_atom_site_label
_atom_site_fract_x
_atom_site_fract_y
_atom_site_fract_z
_atom_site_occupancy
Zn1 0.000 0.250 0.500 1
Cd1 0.000 0.000 0.000 1
Hg1 0.000 0.500 0.250 1
# Crystal system: cubic
# Density (g cm⁻³): 6.975
# DFT total energy (eV per atom): -0.468
# Energy relative to the elements (kJ per mole of atoms): 33

***

[11]
# AgBr3, relaxed, DFT PBE
data_AgBr3
_chemical_formula_sum 'Ag2 Br6'
_space_group_name_H-M_alt 'C m m m'
_space_group_IT_number 65
_space_group_name_Hall '-C 2 2'
_cell_length_a 4.476
_cell_length_b 4.560
_cell_length_c 11.894
_cell_angle_alpha 90.00
_cell_angle_beta 90.00
_cell_angle_gamma 90.00
loop_
_atom_site_label
_atom_site_fract_x
_atom_site_fract_y
_atom_site_fract_z
_atom_site_occupancy
Ag1 0.000 0.000 0.000 1
Br1 0.000 0.000 0.500 1
Br2 0.000 0.500 0.164 1
# Crystal system: orthorhombic
# Density (g cm⁻³): 4.754
# DFT total energy (eV per atom): -1.811
# Formation energy (no corrections) (eV per atom): 0.157

***

[12]
# CeScPt, relaxed, DFT PBE
data_CeScPt
_chemical_formula_sum 'Ce4 Sc4 Pt4'
_space_group_name_H-M_alt 'F -4 3 m'
_space_group_IT_number 216
_space_group_name_Hall 'F -4 2 3'
_cell_length_a 6.769
_cell_length_b 6.769
_cell_length_c 6.769
_cell_angle_alpha 90.00
_cell_angle_beta 90.00
_cell_angle_gamma 90.00
loop_
_atom_site_label
_atom_site_fract_x
_atom_site_fract_y
_atom_site_fract_z
_atom_site_occupancy
Ce1 0.000 0.000 0.000 1
Sc1 0.000 0.000 0.500 1
Pt1 0.250 0.250 0.250 1
# Crystal system: cubic
# Offset from the most stable computed form (meV per atom): 163
# Density (g cm⁻³): 8.142
# DFT total energy (eV per atom): -6.743
# Energy relative to the elements (kJ per mole of atoms): -62

***

[13]
# VSeBrCl2, relaxed, DFT PBE
data_VSeBrCl2
_chemical_formula_sum 'V1 Se1 Br1 Cl2'
_space_group_name_H-M_alt 'P 4/m m m'
_space_group_IT_number 123
_space_group_name_Hall '-P 4 2'
_cell_length_a 4.869
_cell_length_b 4.869
_cell_length_c 5.425
_cell_angle_alpha 90.00
_cell_angle_beta 90.00
_cell_angle_gamma 90.00
loop_
_atom_site_label
_atom_site_fract_x
_atom_site_fract_y
_atom_site_fract_z
_atom_site_occupancy
V1 0.000 0.000 0.000 1
Se1 0.000 0.000 0.500 1
Br1 0.500 0.500 0.000 1
Cl1 0.000 0.500 0.500 1
# Crystal system: tetragonal
# Density (g cm⁻³): 3.625
# DFT total energy (eV per atom): -3.463
# Formation energy (no corrections) (eV per atom): 0.131

***

[14]
# TaAg3, relaxed, DFT PBE
data_TaAg3
_chemical_formula_sum 'Ta2 Ag6'
_space_group_name_H-M_alt 'P m m n'
_space_group_IT_number 59
_cell_length_a 4.755
_cell_length_b 6.078
_cell_length_c 4.855
_cell_angle_alpha 90.00
_cell_angle_beta 90.00
_cell_angle_gamma 90.00
loop_
_space_group_symop_operation_xyz
'x,y,z'
'-x,-y,-z'
'-x+1/2,-y+1/2,z'
'x+1/2,y+1/2,-z'
'x+1/2,-y,-z'
'-x+1/2,y,z'
'-x,y+1/2,-z'
'x,-y+1/2,z'
loop_
_atom_site_label
_atom_site_fract_x
_atom_site_fract_y
_atom_site_fract_z
_atom_site_occupancy
Ta1 0.250 0.250 0.177 1
Ag1 0.250 0.001 0.675 1
Ag2 0.250 0.750 0.169 1
# Crystal system: orthorhombic
# Density (g cm⁻³): 11.941
# DFT total energy (eV per atom): -4.661
# Energy relative to the elements (kJ per mole of atoms): 43

***

[15]
# InAgP2, relaxed, DFT PBE
data_InAgP2
_chemical_formula_sum 'In1 Ag1 P2'
_space_group_name_H-M_alt 'P m m 2'
_space_group_IT_number 25
_cell_length_a 3.075
_cell_length_b 3.905
_cell_length_c 7.175
_cell_angle_alpha 90.00
_cell_angle_beta 90.00
_cell_angle_gamma 90.00
loop_
_space_group_symop_operation_xyz
'x,y,z'
'-x,-y,z'
'-x,y,z'
'x,-y,z'
loop_
_atom_site_label
_atom_site_fract_x
_atom_site_fract_y
_atom_site_fract_z
_atom_site_occupancy
In1 0.000 0.000 0.000 1
Ag1 0.500 0.500 0.534 1
P1 0.000 0.000 0.641 1
P2 0.500 0.500 0.167 1
# Crystal system: orthorhombic
# Density (g cm⁻³): 5.486
# DFT total energy (eV per atom): -3.830
# Energy relative to the elements (kJ per mole of atoms): 26

***

[16]
# LaPuCo, relaxed, DFT PBE
data_LaPuCo
_chemical_formula_sum 'La2 Pu2 Co2'
_space_group_name_H-M_alt 'I 4 m m'
_space_group_IT_number 107
_space_group_name_Hall 'I 4 -2'
_cell_length_a 3.509
_cell_length_b 3.509
_cell_length_c 11.384
_cell_angle_alpha 90.00
_cell_angle_beta 90.00
_cell_angle_gamma 90.00
loop_
_atom_site_label
_atom_site_fract_x
_atom_site_fract_y
_atom_site_fract_z
_atom_site_occupancy
La1 0.000 0.000 0.000 1
Pu1 0.000 0.000 0.279 1
Co1 0.000 0.000 0.691 1
# Crystal system: tetragonal
# Offset from the most stable computed form (meV per atom): 91
# Density (g cm⁻³): 10.470
# DFT total energy (eV per atom): -8.715
# Energy relative to the elements (kJ per mole of atoms): 7

***

[17]
# CsVZn, relaxed, DFT PBE
data_CsVZn
_chemical_formula_sum 'Cs4 V4 Zn4'
_space_group_name_H-M_alt 'P n m a'
_space_group_IT_number 62
_cell_length_a 9.291
_cell_length_b 3.382
_cell_length_c 12.432
_cell_angle_alpha 90.00
_cell_angle_beta 90.00
_cell_angle_gamma 90.00
loop_
_space_group_symop_operation_xyz
'x,y,z'
'-x,-y,-z'
'-x+1/2,-y,z+1/2'
'x+1/2,y,-z+1/2'
'x+1/2,-y+1/2,-z+1/2'
'-x+1/2,y+1/2,z+1/2'
'-x,y+1/2,-z'
'x,-y+1/2,z'
loop_
_atom_site_label
_atom_site_fract_x
_atom_site_fract_y
_atom_site_fract_z
_atom_site_occupancy
Cs1 0.070 0.250 0.178 1
V1 0.070 0.250 0.535 1
Zn1 0.219 0.750 0.420 1
# Crystal system: orthorhombic
# Offset from the most stable computed form (meV per atom): 310
# Density (g cm⁻³): 4.238
# DFT total energy (eV per atom): -3.028
# Energy relative to the elements (kJ per mole of atoms): 70

***

[18]
# PrMg3Cu8, relaxed, DFT PBE
data_PrMg3Cu8
_chemical_formula_sum 'Pr3 Mg9 Cu24'
_space_group_name_H-M_alt 'R 3 m'
_space_group_IT_number 160
_space_group_name_Hall 'R 3 -2"'
_cell_length_a 5.0680
_cell_length_b 5.0680
_cell_length_c 25.1769
_cell_angle_alpha 90.00
_cell_angle_beta 90.00
_cell_angle_gamma 120.00
loop_
_atom_site_label
_atom_site_fract_x
_atom_site_fract_y
_atom_site_fract_z
_atom_site_occupancy
Pr1 0.0000 0.0000 0.0000 1
Mg1 0.0000 0.0000 0.3868 1
Mg2 0.0000 0.0000 0.5043 1
Mg3 0.0000 0.0000 0.8713 1
Cu1 0.0000 0.0000 0.1881 1
Cu2 0.0000 0.0000 0.6901 1
Cu3 0.0027 0.5014 0.4410 1
Cu4 0.1670 0.3341 0.2686 1
# Crystal system: trigonal
# Density (g cm⁻³): 6.424
# DFT total energy (eV per atom): -3.676
# Energy relative to the elements (kJ per mole of atoms): -14

***

[19]
# LaPrTl4, relaxed, DFT PBE
data_LaPrTl4
_chemical_formula_sum 'La4 Pr4 Tl16'
_space_group_name_H-M_alt 'F -4 3 m'
_space_group_IT_number 216
_space_group_name_Hall 'F -4 2 3'
_cell_length_a 8.920
_cell_length_b 8.920
_cell_length_c 8.920
_cell_angle_alpha 90.00
_cell_angle_beta 90.00
_cell_angle_gamma 90.00
loop_
_atom_site_label
_atom_site_fract_x
_atom_site_fract_y
_atom_site_fract_z
_atom_site_occupancy
La1 0.000 0.000 0.000 1
Pr1 0.250 0.250 0.250 1
Tl1 0.125 0.125 0.625 1
# Crystal system: cubic
# Offset from the most stable computed form (meV per atom): 74
# Density (g cm⁻³): 10.269
# DFT total energy (eV per atom): -3.399
# Energy relative to the elements (kJ per mole of atoms): -20

***

[20]
# PrSmFeCu, relaxed, DFT PBE
data_PrSmFeCu
_chemical_formula_sum 'Pr4 Sm4 Fe4 Cu4'
_space_group_name_H-M_alt 'F -4 3 m'
_space_group_IT_number 216
_space_group_name_Hall 'F -4 2 3'
_cell_length_a 7.064
_cell_length_b 7.064
_cell_length_c 7.064
_cell_angle_alpha 90.00
_cell_angle_beta 90.00
_cell_angle_gamma 90.00
loop_
_atom_site_label
_atom_site_fract_x
_atom_site_fract_y
_atom_site_fract_z
_atom_site_occupancy
Pr1 0.000 0.000 0.000 1
Sm1 0.000 0.000 0.500 1
Fe1 0.250 0.250 0.250 1
Cu1 0.250 0.250 0.750 1
# Crystal system: cubic
# Density (g cm⁻³): 7.737
# DFT total energy (eV per atom): -5.419
# Energy relative to the elements (kJ per mole of atoms): 9